Here is a relaxed structure of RbSnSF2 from the Alexandria database. Energies are from PBE-GGA.

Values from the calculation:
Formation energy (no corrections), eV/atom: -1.8087
Space-group type: No. 123
Magnetic moment, μB/f.u.: 0.00
Total DFT energy (no corrections), eV per cell: -21.88

a = 4.6736 Å, b = 4.6736 Å, c = 5.0448 Å
α = 90.00°, β = 90.00°, γ = 90.00°
With the nearest neighbours (Å) after each atom.
Sites, in units of the cell vectors:
Rb: 0.0000 0.0000 0.0000  4 S 3.30, 8 F 3.44
Sn: 0.5000 0.5000 0.5000  4 F 2.34, 2 S 2.52
S: 0.5000 0.5000 0.0000  2 Sn 2.52
F: 0.0000 0.5000 0.5000  2 Sn 2.34
F: 0.5000 0.0000 0.5000  2 Sn 2.34